An optimized crystal structure of La2MnZnC, computed with GGA-PBE.

Lattice parameters (Å, degrees): 5.362 5.362 3.796 90.00 90.00 90.00
Sites, in units of the cell vectors:
La: 0.000 0.500 0.000
La: 0.500 0.000 0.000
Mn: 0.000 0.000 0.500
Zn: 0.500 0.500 0.500
C: 0.000 0.000 0.000

Output
- DOS(E_F) (states/eV/cell) = 4.41
- SG = P4/mmm, No. 123
- ΔH_f (0 K) (meV/atom) = -157.0
- size of the total moment (μB/atom) = 0.314

***

An optimized crystal structure of LaMoC2, computed with GGA-PBE.

Lattice parameters (Å, degrees): 6.241 6.241 6.241 30.46 30.46 30.46
Sites, in units of the cell vectors:
La: 0.000 0.000 0.000
Mo: 0.500 0.500 0.500
C: 0.232 0.232 0.232
C: 0.768 0.768 0.768

Output
- DOS(E_F) (states/eV/cell) = 2.11
- SG = R-3m, No. 166
- ΔH_f (0 K) (meV/atom) = 148.9
- size of the total moment (μB/atom) = 0.000

***

An optimized crystal structure of LaMo3C, computed with GGA-PBE.

Lattice parameters (Å, degrees): 4.374 4.374 4.374 90.00 90.00 90.00
Sites, in units of the cell vectors:
La: 0.000 0.000 0.000
Mo: 0.000 0.500 0.500
Mo: 0.500 0.000 0.500
Mo: 0.500 0.500 0.000
C: 0.500 0.500 0.500

Output
- DOS(E_F) (states/eV/cell) = 7.75
- SG = Pm-3m, No. 221
- ΔH_f (0 K) (meV/atom) = 446.6
- size of the total moment (μB/atom) = 0.000

***

An optimized crystal structure of LaMoC2, computed with GGA-PBE.

Lattice parameters (Å, degrees): 6.347 6.347 6.347 131.31 131.31 71.32
Sites, in units of the cell vectors:
La: 0.000 0.000 0.000
La: 0.750 0.250 0.500
Mo: 0.250 0.750 0.500
Mo: 0.500 0.500 0.000
C: 0.224 0.625 0.099
C: 0.375 0.474 0.599
C: 0.526 0.125 0.901
C: 0.875 0.776 0.401

Output
- DOS(E_F) (states/eV/cell) = 4.87
- SG = I-42d, No. 122
- ΔH_f (0 K) (meV/atom) = 222.1
- size of the total moment (μB/atom) = 0.000

***

An optimized crystal structure of LaMoC2, computed with GGA-PBE.

Lattice parameters (Å, degrees): 4.262 4.262 4.262 60.00 60.00 60.00
Sites, in units of the cell vectors:
La: 0.000 0.000 0.000
Mo: 0.500 0.500 0.500
C: 0.250 0.250 0.250
C: 0.750 0.750 0.750

Output
- DOS(E_F) (states/eV/cell) = 3.49
- SG = Fm-3m, No. 225
- ΔH_f (0 K) (meV/atom) = 1112.9
- size of the total moment (μB/atom) = 0.312

***

An optimized crystal structure of LaMo3C, computed with GGA-PBE.

Lattice parameters (Å, degrees): 4.760 4.760 4.760 90.00 90.00 90.00
Sites, in units of the cell vectors:
La: 0.000 0.000 0.000
Mo: 0.000 0.000 0.500
Mo: 0.000 0.500 0.000
Mo: 0.500 0.000 0.000
C: 0.500 0.500 0.500

Output
- DOS(E_F) (states/eV/cell) = 6.79
- SG = Pm-3m, No. 221
- ΔH_f (0 K) (meV/atom) = 3527.5
- size of the total moment (μB/atom) = 0.000